Entry 1:
Compound: ZrReAg2
Source: Alexandria
Functional: PBE
Structure: relaxed

Summary:
Its density of states at the Fermi level is 4.4 states/eV per cell. The value obtained for the total DFT energy (no corrections) is -6.201 eV/atom. For the theoretical density, the calculation gives 11.60 g/cm³. For the energy of formation, the calculation gives 0.47 eV/atom. Its offset from the most stable computed form is 264 meV/atom.

Geometry as CIF:
```
data_ZrReAg2
_chemical_formula_sum 'Zr1 Re1 Ag2'
_symmetry_space_group_name_H-M 'P 4/m m m'
_symmetry_Int_Tables_number 123
_symmetry_space_group_name_Hall '-P 4 2'
_cell_length_a 2.762
_cell_length_b 2.762
_cell_length_c 9.259
_cell_angle_alpha 90.00
_cell_angle_beta 90.00
_cell_angle_gamma 90.00
loop_
_atom_site_label
_atom_site_fract_x
_atom_site_fract_y
_atom_site_fract_z
_atom_site_occupancy
Zr1 0.000 0.000 0.000 1
Re1 0.000 0.000 0.500 1
Ag1 0.500 0.500 0.262 1
```


Entry 2:
Compound: FeTcRu2
Source: Alexandria
Functional: PBE
Structure: relaxed

Summary:
Its density of states at the Fermi level is 15.7 states/eV per cell. The value obtained for the total DFT energy (no corrections) is -9.197 eV/atom. For the theoretical density, the calculation gives 10.91 g/cm³. For the energy of formation, the calculation gives 0.15 eV/atom. Its offset from the most stable computed form is 54 meV/atom.

Geometry as CIF:
```
data_FeTcRu2
_chemical_formula_sum 'Fe3 Tc3 Ru6'
_symmetry_space_group_name_H-M 'R 3 m'
_symmetry_Int_Tables_number 160
_symmetry_space_group_name_Hall 'R 3 -2"'
_cell_length_a 2.6909
_cell_length_b 2.6909
_cell_length_c 25.9214
_cell_angle_alpha 90.00
_cell_angle_beta 90.00
_cell_angle_gamma 120.00
loop_
_atom_site_label
_atom_site_fract_x
_atom_site_fract_y
_atom_site_fract_z
_atom_site_occupancy
Fe1 0.0000 0.0000 0.0000 1
Tc1 0.0000 0.0000 0.2511 1
Ru1 0.0000 0.0000 0.4993 1
Ru2 0.0000 0.0000 0.7465 1
```


Entry 3:
Compound: PbAuBr2
Source: Alexandria
Functional: PBE
Structure: relaxed

Summary:
Its uncorrected formation energy is -0.09 eV/atom. Its density of states at the Fermi level is 4.3 states/eV per cell. The value obtained for the total DFT energy (no corrections) is -2.669 eV/atom. For the theoretical density, the calculation gives 8.69 g/cm³. Its offset from the most stable computed form is 265 meV/atom.

Geometry as CIF:
```
data_PbAuBr2
_chemical_formula_sum 'Pb2 Au2 Br4'
_symmetry_space_group_name_H-M 'I -4 m 2'
_symmetry_Int_Tables_number 119
_symmetry_space_group_name_Hall 'I -4 -2'
_cell_length_a 4.376
_cell_length_b 4.376
_cell_length_c 11.249
_cell_angle_alpha 90.00
_cell_angle_beta 90.00
_cell_angle_gamma 90.00
loop_
_atom_site_label
_atom_site_fract_x
_atom_site_fract_y
_atom_site_fract_z
_atom_site_occupancy
Pb1 0.000 0.000 0.000 1
Au1 0.000 0.500 0.750 1
Br1 0.000 0.000 0.500 1
Br2 0.000 0.500 0.250 1
```


Entry 4:
Compound: Rb2PtIN
Source: Alexandria
Functional: PBE
Structure: relaxed

Summary:
Its uncorrected formation energy is 0.53 eV/atom. Its density of states at the Fermi level is 2.1 states/eV per cell. The value obtained for the total DFT energy (no corrections) is -3.043 eV/atom. For the theoretical density, the calculation gives 3.79 g/cm³. Its offset from the most stable computed form is 1109 meV/atom.

Geometry as CIF:
```
data_Rb2PtIN
_chemical_formula_sum 'Rb2 Pt1 I1 N1'
_symmetry_space_group_name_H-M 'P 4/m m m'
_symmetry_Int_Tables_number 123
_symmetry_space_group_name_Hall '-P 4 2'
_cell_length_a 6.545
_cell_length_b 6.545
_cell_length_c 5.187
_cell_angle_alpha 90.00
_cell_angle_beta 90.00
_cell_angle_gamma 90.00
loop_
_atom_site_label
_atom_site_fract_x
_atom_site_fract_y
_atom_site_fract_z
_atom_site_occupancy
Rb1 0.000 0.500 0.000 1
Pt1 0.000 0.000 0.000 1
I1 0.000 0.000 0.500 1
N1 0.500 0.500 0.500 1
```


Entry 5:
Compound: HfSc2
Source: Alexandria
Functional: PBE
Structure: relaxed

Summary:
Its density of states at the Fermi level is 16.6 states/eV per cell. The value obtained for the total DFT energy (no corrections) is -7.513 eV/atom. For the theoretical density, the calculation gives 6.31 g/cm³. For the energy of formation, the calculation gives 0.03 eV/atom.

Geometry as CIF:
```
data_HfSc2
_chemical_formula_sum 'Hf4 Sc8'
_symmetry_space_group_name_H-M 'C 1 m 1'
_symmetry_Int_Tables_number 8
_cell_length_a 11.703
_cell_length_b 3.196
_cell_length_c 8.743
_cell_angle_alpha 90.00
_cell_angle_beta 120.22
_cell_angle_gamma 90.00
loop_
_symmetry_equiv_pos_as_xyz
'x,y,z'
'x,-y,z'
'x+1/2,y+1/2,z'
'x+1/2,-y+1/2,z'
loop_
_atom_site_label
_atom_site_fract_x
_atom_site_fract_y
_atom_site_fract_z
_atom_site_occupancy
Hf1 0.000 0.000 0.000 1
Hf2 0.232 0.500 0.998 1
Sc1 0.228 0.000 0.681 1
Sc2 0.240 0.500 0.344 1
Sc3 0.465 0.000 0.303 1
Sc4 0.485 0.000 0.672 1
```


Entry 6:
Compound: Ag2HgSb2
Source: Alexandria
Functional: PBE
Structure: relaxed

Summary:
Its uncorrected formation energy is 0.23 eV/atom. Its density of states at the Fermi level is 4.8 states/eV per cell. The value obtained for the total DFT energy (no corrections) is -2.618 eV/atom. For the theoretical density, the calculation gives 8.43 g/cm³. Its offset from the most stable computed form is 108 meV/atom.

Geometry as CIF:
```
data_Ag2HgSb2
_chemical_formula_sum 'Ag4 Hg2 Sb4'
_symmetry_space_group_name_H-M 'I 4/m m m'
_symmetry_Int_Tables_number 139
_symmetry_space_group_name_Hall '-I 4 2'
_cell_length_a 4.364
_cell_length_b 4.364
_cell_length_c 13.658
_cell_angle_alpha 90.00
_cell_angle_beta 90.00
_cell_angle_gamma 90.00
loop_
_atom_site_label
_atom_site_fract_x
_atom_site_fract_y
_atom_site_fract_z
_atom_site_occupancy
Ag1 0.000 0.000 0.100 1
Hg1 0.000 0.000 0.500 1
Sb1 0.000 0.500 0.250 1
```


What is the total DFT energy (no corrections) in the sixth record? -2.618 eV/atom